Record 1
NaLi2In9 (PBE, optimized geometry); size of the total moment = 0.0 Bohr magnetons per cell; formation enthalpy at 0 K = -10.1 kJ per mole of atoms; calculated volume = 24.8 Å³/atom; final energy = -31.0 eV/f.u.
1.0
4.6382 0.0000 0.0000
0.0000 4.6382 0.0000
0.0000 0.0000 13.8420
Na Li In
1 2 9
Direct
0.0000 0.0000 0.0000
0.0000 0.0000 0.3389
0.0000 0.0000 0.6611
0.5000 0.5000 0.0000
0.5000 0.5000 0.3373
0.5000 0.5000 0.6627
0.5000 0.0000 0.1756
0.5000 0.0000 0.5000
0.5000 0.0000 0.8244
0.0000 0.5000 0.1756
0.0000 0.5000 0.5000
0.0000 0.5000 0.8244

***

Record 2
NaLi2In4 (PBE, optimized geometry); size of the total moment = 0.0 Bohr magnetons per cell; formation enthalpy at 0 K = -15.9 kJ per mole of atoms; calculated volume = 23.7 Å³/atom; final energy = -17.3 eV/f.u.
1.0
-0.5120 -2.0871 -4.4633
3.2196 -0.8742 0.0394
-3.7685 -7.2172 6.5562
Na Li In
1 2 4
Direct
0.5000 0.0000 0.0000
0.8004 0.8004 0.6007
0.1996 0.1996 0.3993
0.6565 0.6565 0.3131
0.3435 0.3435 0.6869
0.0739 0.5739 0.1477
0.9261 0.4261 0.8523

***

Record 3
Na12LiIn7 (PBE, optimized geometry); size of the total moment = 0.0 Bohr magnetons per cell; formation enthalpy at 0 K = -7.4 kJ per mole of atoms; calculated volume = 28.3 Å³/atom; final energy = -38.5 eV/f.u.
1.0
-8.4282 1.0310 -0.3168
1.3163 -5.6910 -6.1708
0.9387 -4.7312 6.9953
Na Li In
12 1 7
Direct
0.7631 0.2366 0.4980
0.5020 0.2369 0.7634
0.9161 0.6645 0.6717
0.3283 0.0839 0.3355
0.7634 0.5020 0.2369
0.3355 0.3283 0.0839
0.6645 0.6717 0.9161
0.2366 0.4980 0.7631
0.6717 0.9161 0.6645
0.0839 0.3355 0.3283
0.4980 0.7631 0.2366
0.2369 0.7634 0.5020
0.0000 0.0000 0.0000
0.3111 0.9139 0.9165
0.0835 0.6889 0.0861
0.0861 0.0835 0.6889
0.5000 0.5000 0.5000
0.9139 0.9165 0.3111
0.9165 0.3111 0.9139
0.6889 0.0861 0.0835

***

Record 4
NaLi6In12 (PBE, optimized geometry); size of the total moment = 0.0 Bohr magnetons per cell; formation enthalpy at 0 K = -8.8 kJ per mole of atoms; calculated volume = 24.3 Å³/atom; final energy = -47.4 eV/f.u.
1.0
8.1196 -0.0882 -0.1243
-2.0982 7.8443 -0.1243
-2.0982 -2.7027 7.3651
Na Li In
1 6 12
Direct
0.0000 0.0000 0.0000
0.7058 0.2866 0.2866
0.2866 0.2866 0.7058
0.2866 0.7058 0.2866
0.7134 0.7134 0.2942
0.2942 0.7134 0.7134
0.7134 0.2942 0.7134
0.8837 0.1163 0.5000
0.8609 0.6127 0.6127
0.6127 0.6127 0.8609
0.3873 0.1391 0.3873
0.3873 0.3873 0.1391
0.1391 0.3873 0.3873
0.1163 0.5000 0.8837
0.5000 0.8837 0.1163
0.1163 0.8837 0.5000
0.8837 0.5000 0.1163
0.5000 0.1163 0.8837
0.6127 0.8609 0.6127

***

Record 5
Na2LiIn (PBE, optimized geometry); size of the total moment = 0.0 Bohr magnetons per cell; formation enthalpy at 0 K = -0.9 kJ per mole of atoms; calculated volume = 27.1 Å³/atom; final energy = -7.3 eV/f.u.
1.0
3.6935 0.0000 0.0000
0.0000 3.6935 0.0000
0.0000 0.0000 7.9584
Na Li In
2 1 1
Direct
0.0000 0.0000 0.7477
0.0000 0.0000 0.2523
0.5000 0.5000 0.5000
0.5000 0.5000 0.0000

***

Record 6
NaLi4In4 (PBE, optimized geometry); size of the total moment = 0.0 Bohr magnetons per cell; excess energy over the best structure of this formula in the dataset = 0.0 meV/atom; formation enthalpy at 0 K = -17.8 kJ per mole of atoms; calculated volume = 21.5 Å³/atom; final energy = -21.6 eV/f.u.
1.0
4.4638 0.0000 1.5117
2.2319 6.4110 0.7558
0.1755 0.0000 6.8281
Na Li In
1 4 4
Direct
0.0000 0.0000 0.0000
0.0000 0.6702 0.3297
0.0000 0.3298 0.6703
0.6702 0.3297 0.3298
0.3298 0.6703 0.6702
0.3267 0.3467 0.9999
0.6733 0.6533 0.0001
0.6734 0.9999 0.6533
0.3266 0.0001 0.3467

***

Record 7
Na3Li2In9 (PBE, optimized geometry); size of the total moment = 0.0 Bohr magnetons per cell; formation enthalpy at 0 K = -13.7 kJ per mole of atoms; calculated volume = 25.5 Å³/atom; final energy = -34.4 eV/f.u.
1.0
-1.4933 2.9910 -3.5826
-7.3884 -3.7340 -3.3887
-6.6223 4.8935 3.4947
Na Li In
3 2 9
Direct
0.0000 0.0000 0.0000
0.7162 0.2838 0.2838
0.2838 0.7162 0.7162
0.5000 0.3487 0.6513
0.5000 0.6513 0.3487
0.0000 0.5000 0.5000
0.6281 0.0045 0.7393
0.3719 0.9955 0.2607
0.6281 0.7393 0.0045
0.3719 0.2607 0.9955
0.8553 0.8571 0.4324
0.1447 0.1429 0.5676
0.8553 0.4324 0.8571
0.1447 0.5676 0.1429

***

Record 8
NaLi2In2 (PBE, optimized geometry); size of the total moment = 0.0 Bohr magnetons per cell; excess energy over the best structure of this formula in the dataset = 20.3 meV/atom; formation enthalpy at 0 K = -19.5 kJ per mole of atoms; calculated volume = 22.7 Å³/atom; final energy = -11.6 eV/f.u.
1.0
-7.5697 -0.1348 3.8724
-3.8723 -0.0367 -7.5709
0.0506 -3.1436 -0.0106
Na Li In
2 4 4
Direct
0.0000 0.0000 0.0000
0.5000 0.5000 0.0000
0.1730 0.6730 0.5000
0.6730 0.8270 0.5000
0.8270 0.3270 0.5000
0.3270 0.1730 0.5000
0.3743 0.8743 0.0000
0.8743 0.6257 0.0000
0.6257 0.1257 0.0000
0.1257 0.3743 0.0000